1.
Below is a relaxed ErThTlTe crystal, with properties calculated at the PBE level.

a = 5.4234 Å, b = 5.4234 Å, c = 5.4234 Å
α = 60.00°, β = 60.00°, γ = 60.00°
Sites, in units of the cell vectors:
Te  0.0000  0.0000  0.0000
Th  0.7500  0.7500  0.7500
Tl  0.5000  0.5000  0.5000
Er  0.2500  0.2500  0.2500

Uncorrected energy (eV/f.u.): -19.53

2.
Below is a relaxed Er2Tm3ThTe6 crystal, with properties calculated at the PBE level.

a = 4.2242 Å, b = 8.9077 Å, c = 9.9298 Å
α = 107.31°, β = 102.28°, γ = 90.00°
Sites, in units of the cell vectors:
Tm  0.5000  0.5000  0.0000
Te  0.0018  0.7369  0.0037
Te  0.3261  0.9300  0.6522
Te  0.6712  0.5716  0.3424
Er  0.8447  0.6962  0.6895
Te  0.9982  0.2631  0.9963
Th  0.5000  0.0000  0.0000
Te  0.3288  0.4284  0.6576
Te  0.6739  0.0700  0.3478
Tm  0.8399  0.1841  0.6798
Er  0.1553  0.3038  0.3105
Tm  0.1601  0.8159  0.3202

Uncorrected energy (eV/f.u.): -62.64

E_form (uncorrected)
In order: -511; -1153
Unit: meV per atom
D(E_F)
In order: 3.9; 6.4
Unit: states/eV/cell